HfPaFeO6 | PBE with a Hubbard U | relaxed

Lattice parameters (Å, degrees): 5.5381 5.5381 8.7340 90.00 90.00 120.00
With the nearest neighbours (Å) after each atom.
Fractional positions:
Hf: 0.3333 0.6667 0.7500  6 O 2.10
Hf: 0.6667 0.3333 0.2500  6 O 2.10
O: 0.3212 0.3346 0.8720  1 Hf 2.10, 1 Fe 2.13, 1 Pa 2.19
O: 0.3346 0.3212 0.3720  1 Hf 2.10, 1 Fe 2.13, 1 Pa 2.19
O: 0.9866 0.3212 0.1280  1 Hf 2.10, 1 Fe 2.13, 1 Pa 2.19
O: 0.9866 0.6654 0.3720  1 Hf 2.10, 1 Fe 2.13, 1 Pa 2.19
O: 0.6654 0.9866 0.8720  1 Hf 2.10, 1 Fe 2.13, 1 Pa 2.19
O: 0.0134 0.3346 0.6280  1 Hf 2.10, 1 Fe 2.13, 1 Pa 2.19
O: 0.6788 0.6654 0.1280  1 Hf 2.10, 1 Fe 2.13, 1 Pa 2.19
O: 0.6788 0.0134 0.3720  1 Hf 2.10, 1 Fe 2.13, 1 Pa 2.19
O: 0.6654 0.6788 0.6280  1 Hf 2.10, 1 Fe 2.13, 1 Pa 2.19
O: 0.3346 0.0134 0.1280  1 Hf 2.10, 1 Fe 2.13, 1 Pa 2.19
O: 0.3212 0.9866 0.6280  1 Hf 2.10, 1 Fe 2.13, 1 Pa 2.19
O: 0.0134 0.6788 0.8720  1 Hf 2.10, 1 Fe 2.13, 1 Pa 2.19
Pa: 0.6667 0.3333 0.7500  6 O 2.19
Pa: 0.3333 0.6667 0.2500  6 O 2.19
Fe: 0.0000 0.0000 0.5000  6 O 2.13
Fe: 0.0000 0.0000 0.0000  6 O 2.13

Summary:
Mass density   8.036 g/cm³
Symmetry   P-31c (163)
Density of states at the Fermi level   0.000 states/eV per cell
DFT total energy   -8.8599 eV/atom
Total magnetization   5.0 μB per formula unit